Record 1
Compound: Mn2Pt3
Source: Alexandria
Functional: PBE-GGA
Structure: optimized geometry

Properties
For the formation enthalpy at 0 K, the calculation gives -0.279 eV/atom. The calculation puts the density of states at the Fermi level at 0.80 states/eV per atom. The space-group type is Fdd2 (43).

Cell: 8.105 7.044 5.315 Å, 80.64 59.04 40.33°
Fractional coordinates of all 10 atoms:
Pt: 0.174 0.326 0.326
Pt: 0.468 0.738 0.446
Pt: 0.512 0.782 0.902
Pt: 0.924 0.076 0.076
Pt: 0.804 0.902 0.782
Pt: 0.348 0.446 0.738
Mn: 0.901 0.199 0.541
Mn: 0.709 0.892 0.349
Mn: 0.051 0.349 0.892
Mn: 0.358 0.541 0.199

Record 2
Compound: Mn3Pt
Source: Alexandria
Functional: PBE-GGA
Structure: optimized geometry

Properties
For the formation enthalpy at 0 K, the calculation gives -0.112 eV/atom. The calculation puts the density of states at the Fermi level at 0.86 states/eV per atom. The space-group type is Cmmm (65).

Cell: 4.564 4.564 2.658 Å, 90.00 90.00 109.91°
Fractional coordinates of all 4 atoms:
Mn: 0.000 0.000 0.000
Mn: 0.500 0.000 0.500
Mn: 0.000 0.500 0.500
Pt: 0.500 0.500 0.000

Record 3
Compound: MnPt
Source: Alexandria
Functional: PBE-GGA
Structure: optimized geometry

Properties
For the formation enthalpy at 0 K, the calculation gives -0.213 eV/atom. The calculation puts the density of states at the Fermi level at 0.81 states/eV per atom. The space-group type is Amm2 (38).

Cell: 4.549 8.293 4.837 Å, 90.00 90.00 90.00°
Fractional coordinates of all 12 atoms:
Mn: 0.000 0.500 0.192
Mn: 0.500 0.173 0.482
Mn: 0.500 0.673 0.982
Mn: 0.500 0.327 0.982
Mn: 0.500 0.827 0.482
Mn: 0.000 0.000 0.692
Pt: 0.000 0.167 0.187
Pt: 0.500 0.000 0.972
Pt: 0.500 0.500 0.472
Pt: 0.000 0.333 0.687
Pt: 0.000 0.833 0.187
Pt: 0.000 0.667 0.687

Record 4
Compound: MnPt
Source: Alexandria
Functional: PBE-GGA
Structure: optimized geometry

Properties
For the formation enthalpy at 0 K, the calculation gives 0.077 eV/atom. The calculation puts the density of states at the Fermi level at 1.07 states/eV per atom. The space-group type is P4_2/mnm (136).

Cell: 5.088 5.088 5.191 Å, 90.00 90.00 90.00°
Fractional coordinates of all 8 atoms:
Pt: 0.195 0.195 0.000
Pt: 0.805 0.805 0.000
Pt: 0.305 0.695 0.500
Pt: 0.695 0.305 0.500
Mn: 0.695 0.305 0.000
Mn: 0.805 0.805 0.500
Mn: 0.305 0.695 0.000
Mn: 0.195 0.195 0.500

Record 5
Compound: MnPt3
Source: Alexandria
Functional: PBE-GGA
Structure: optimized geometry

Properties
For the formation enthalpy at 0 K, the calculation gives -0.239 eV/atom. The calculation puts the density of states at the Fermi level at 1.26 states/eV per atom. The space-group type is C2/m (12).

Cell: 2.812 4.849 4.799 Å, 100.80 90.00 106.86°
Fractional coordinates of all 4 atoms:
Mn: 0.000 0.000 0.000
Pt: 0.500 0.000 0.500
Pt: 0.256 0.512 0.754
Pt: 0.744 0.488 0.246

Record 6
Compound: MnPt
Source: Alexandria
Functional: PBE-GGA
Structure: optimized geometry

Properties
For the formation enthalpy at 0 K, the calculation gives 0.044 eV/atom. The calculation puts the density of states at the Fermi level at 1.25 states/eV per atom. The space-group type is Immm (71).

Cell: 8.536 4.809 2.681 Å, 90.00 90.00 90.00°
Fractional coordinates of all 8 atoms:
Mn: 0.000 0.795 0.000
Mn: 0.000 0.205 0.000
Mn: 0.500 0.705 0.500
Mn: 0.500 0.295 0.500
Pt: 0.798 0.500 0.500
Pt: 0.298 0.000 0.000
Pt: 0.202 0.500 0.500
Pt: 0.702 0.000 0.000